[1]
## SrZn2As (PBE-GGA)

Data for crystalline SrZn2As at its relaxed geometry.

```
data_SrZn2As
_chemical_formula_sum 'Sr1 Zn2 As1'
_cell_length_a 6.395
_cell_length_b 5.134
_cell_length_c 3.284
_cell_angle_alpha 89.15
_cell_angle_beta 75.47
_cell_angle_gamma 113.43
_symmetry_space_group_name_H-M 'P 1'
_symmetry_Int_Tables_number 1
loop_
_symmetry_equiv_pos_as_xyz
'x,y,z'
loop_
_atom_site_label
_atom_site_fract_x
_atom_site_fract_y
_atom_site_fract_z
As1 0.500 0.500 0.000
Zn1 0.000 0.000 0.000
Zn2 0.000 0.500 0.500
Sr1 0.500 0.000 0.500
```

Output
spin magnetization	0.0	μB/cell
energy	-9.20	eV for the cell shown
space group	C2/m, No. 12
ΔH_f (0 K)	-31	kJ/mol of formula units
density of states at the Fermi level	1.26	states/eV per cell

---

[2]
## Rb2ZrSbSe (PBE-GGA)

Data for crystalline Rb2ZrSbSe at its relaxed geometry.

```
data_Rb2ZrSbSe
_chemical_formula_sum 'Rb2 Zr1 Sb1 Se1'
_cell_length_a 7.090
_cell_length_b 5.376
_cell_length_c 7.090
_cell_angle_alpha 90.00
_cell_angle_beta 90.00
_cell_angle_gamma 90.00
_symmetry_space_group_name_H-M 'P 1'
_symmetry_Int_Tables_number 1
loop_
_symmetry_equiv_pos_as_xyz
'x,y,z'
loop_
_atom_site_label
_atom_site_fract_x
_atom_site_fract_y
_atom_site_fract_z
Se1 0.000 0.500 0.000
Zr1 0.500 0.500 0.500
Rb1 0.000 0.000 0.500
Rb2 0.500 0.000 0.000
Sb1 0.000 0.000 0.000
```

Output
spin magnetization	2.9	μB/cell
energy	-14.05	eV for the cell shown
space group	P4/mmm, No. 123
ΔE_f (raw)	808	meV/atom
density of states at the Fermi level	9.33	states/eV per cell

---

[3]
## ReMoPt2 (PBE-GGA)

Data for crystalline ReMoPt2 at its relaxed geometry.

```
data_ReMoPt2
_chemical_formula_sum 'Re1 Mo1 Pt2'
_cell_length_a 9.326
_cell_length_b 9.326
_cell_length_c 9.326
_cell_angle_alpha 17.12
_cell_angle_beta 17.12
_cell_angle_gamma 17.12
_symmetry_space_group_name_H-M 'P 1'
_symmetry_Int_Tables_number 1
loop_
_symmetry_equiv_pos_as_xyz
'x,y,z'
loop_
_atom_site_label
_atom_site_fract_x
_atom_site_fract_y
_atom_site_fract_z
Mo1 0.750 0.750 0.750
Pt1 0.501 0.501 0.501
Pt2 0.999 0.999 0.999
Re1 0.250 0.250 0.250
```

Output
spin magnetization	0.0	μB/cell
energy	-35.58	eV for the cell shown
space group	R-3m, No. 166
energy above the lowest structure with this stoichiometry	38	kJ/mol of formula units
ΔH_f (0 K)	-21	kJ/mol of formula units
density of states at the Fermi level	3.07	states/eV per cell

---

[4]
## DyUAl4 (PBE-GGA)

Data for crystalline DyUAl4 at its relaxed geometry.

```
data_DyUAl4
_chemical_formula_sum 'Dy1 U1 Al4'
_cell_length_a 5.540
_cell_length_b 5.540
_cell_length_c 5.540
_cell_angle_alpha 60.00
_cell_angle_beta 60.00
_cell_angle_gamma 60.00
_symmetry_space_group_name_H-M 'P 1'
_symmetry_Int_Tables_number 1
loop_
_symmetry_equiv_pos_as_xyz
'x,y,z'
loop_
_atom_site_label
_atom_site_fract_x
_atom_site_fract_y
_atom_site_fract_z
Al1 0.626 0.123 0.626
Al2 0.123 0.626 0.626
Al3 0.626 0.626 0.626
Al4 0.626 0.626 0.123
Dy1 0.250 0.250 0.250
U1 0.000 0.000 0.000
```

Output
spin magnetization	2.7	μB/cell
energy	-32.30	eV for the cell shown
space group	F-43m, No. 216
ΔH_f (0 K)	-139	kJ/mol of formula units
density of states at the Fermi level	9.34	states/eV per cell

---

- Which of these has the highest spin magnetization?
  Rb2ZrSbSe